No. 1
## La4Nd2Sm3 (PBE)

Data for a relaxed La4Nd2Sm3 crystal.

Cell and atoms, written as POSCAR:
```
La4Nd2Sm3
1.0
-1.0142 3.9457 -3.2834
-7.9857 -0.4114 1.9722
4.0228 3.0121 6.5464
La Nd Sm
4 2 3
Cartesian
-2.7796 2.3824 -0.4476
-3.8863 4.4616 2.3929
-2.1974 4.1640 5.6828
-1.0907 2.0849 2.8423
-5.6376 2.9141 5.2433
0.6606 3.6323 -0.0081
-0.4182 5.7105 2.8225
-4.5588 0.8359 2.4127
0.0000 0.0000 0.0000
```

Calculated values
For the distance to the lowest polymorph of the same formula, the calculation gives 0.00 eV per formula unit. The crystal system is monoclinic. The space-group type is C2/m (12). Its energy of formation is 14.4 kJ/mol of formula units.

***

No. 2
## La8Nd5Sm (PBE)

Data for a relaxed La8Nd5Sm crystal.

Cell and atoms, written as POSCAR:
```
La8Nd5Sm
1.0
8.7468 -0.0935 0.1607
-3.0475 8.1992 -0.1607
-2.6517 -4.1920 7.2067
La Nd Sm
8 5 1
Cartesian
-0.8636 5.7183 0.4027
6.0494 -1.9811 4.9323
4.7224 0.6566 2.4717
2.1700 -0.6785 6.7162
2.0675 3.7555 1.9288
-0.0260 3.8025 5.8714
0.9353 0.2878 3.2069
-2.8648 4.0938 3.2967
-1.0250 1.9810 0.9067
4.3828 6.5432 1.2737
3.1780 2.5617 5.2187
3.0475 -2.1428 3.6837
-0.4408 -3.2584 7.0142
-1.3259 0.9322 5.3648
```

Calculated values
The crystal system is tetragonal. The space-group type is I-4 (82). Its energy of formation is 282.5 kJ/mol of formula units.

***

No. 3
## LaNdSm2 (PBE)

Data for a relaxed LaNdSm2 crystal.

Cell and atoms, written as POSCAR:
```
LaNdSm2
1.0
-1.8260 -0.7610 4.7760
-5.5137 -4.0285 -2.7500
4.1227 -6.0589 0.6104
La Nd Sm
2 2 4
Cartesian
-3.2030 -1.7699 4.0885
-0.0140 -9.0784 -1.4521
-1.1419 -4.7990 4.3937
-2.0751 -6.0493 -1.7573
-2.6292 -3.9238 1.1672
-0.5878 -6.9246 1.4692
-3.3443 -8.9386 0.0944
0.1273 -1.9097 2.5420
```

Calculated values
For the distance to the lowest polymorph of the same formula, the calculation gives 0.08 eV per formula unit. The crystal system is orthorhombic. The space-group type is Pmmm (47). Its energy of formation is 5.8 kJ/mol of formula units.

***

No. 4
## LaNd2Sm7 (PBE)

Data for a relaxed LaNd2Sm7 crystal.

Cell and atoms, written as POSCAR:
```
LaNd2Sm7
1.0
5.6262 0.0000 0.0000
0.0000 9.3352 -0.5467
0.0000 -4.6995 8.0846
La Nd Sm
1 2 7
Cartesian
0.0000 0.0000 0.0000
2.8131 5.1631 2.0192
2.8131 -0.5274 5.5188
0.0000 6.1874 1.3892
0.0000 -1.5517 6.1487
2.8131 -0.7801 2.3423
2.8131 5.4159 5.1956
2.8131 2.4423 0.3605
2.8131 2.1934 7.1774
2.8131 2.3179 3.7690
```

Calculated values
For the distance to the lowest polymorph of the same formula, the calculation gives 4.75 eV per formula unit. The crystal system is orthorhombic. The space-group type is Cmmm (65). Its energy of formation is 609.7 kJ/mol of formula units.

***

No. 5
## LaNd2Sm9 (PBE)

Data for a relaxed LaNd2Sm9 crystal.

Cell and atoms, written as POSCAR:
```
LaNd2Sm9
1.0
5.1566 0.0000 0.0000
0.0000 5.1566 0.0000
0.0000 0.0000 15.4801
La Nd Sm
1 2 9
Cartesian
0.0000 0.0000 0.0000
0.0000 0.0000 5.1604
0.0000 0.0000 10.3197
2.5783 2.5783 0.0000
2.5783 2.5783 5.1741
2.5783 2.5783 10.3059
2.5783 0.0000 2.6014
2.5783 0.0000 7.7400
2.5783 0.0000 12.8786
0.0000 2.5783 2.6014
0.0000 2.5783 7.7400
0.0000 2.5783 12.8786
```

Calculated values
The crystal system is tetragonal. The space-group type is P4/mmm (123). Its energy of formation is 20.0 kJ/mol of formula units.

***

No. 6
## LaNd3Sm4 (PBE)

Data for a relaxed LaNd3Sm4 crystal.

Cell and atoms, written as POSCAR:
```
LaNd3Sm4
1.0
7.3264 0.0000 0.0000
0.0000 7.3291 0.0000
0.0000 0.0000 10.3752
Nd Sm La
6 8 2
Cartesian
0.0021 2.2766 0.0000
1.8260 0.4441 7.7796
5.5004 4.1086 7.7832
7.3243 5.9412 5.1876
5.5004 4.1086 2.5920
1.8260 0.4441 2.5956
0.0021 5.9401 0.0000
3.6623 2.2768 0.0000
5.5032 0.4441 7.7842
1.8232 4.1087 7.7786
3.6641 5.9414 5.1876
7.3244 2.2756 5.1876
1.8232 4.1087 2.5966
5.5032 0.4441 2.5910
3.6617 5.9409 0.0000
3.6647 2.2763 5.1876
```

Calculated values
For the distance to the lowest polymorph of the same formula, the calculation gives 0.00 eV per formula unit. The crystal system is orthorhombic. The space-group type is Pmna (53). Its energy of formation is 12.9 kJ/mol of formula units.

***

No. 7
## La5NdSm4 (PBE)

Data for a relaxed La5NdSm4 crystal.

Cell and atoms, written as POSCAR:
```
La5NdSm4
1.0
-0.2894 3.6612 0.0288
-7.9200 -0.5610 -8.1401
-5.8972 1.3319 6.6601
La Nd Sm
5 1 4
Cartesian
-5.3836 1.4234 -0.3536
-7.8195 1.2545 -4.3286
-6.2871 3.1777 2.8773
-4.1047 1.5501 -4.0557
-8.7230 3.0088 -1.0977
-0.1447 1.8306 0.0144
-2.7941 3.4467 1.8710
-2.7313 3.4822 -1.5245
-11.3126 0.9855 -3.3223
-11.3753 0.9500 0.0731
```

Calculated values
For the distance to the lowest polymorph of the same formula, the calculation gives 0.98 eV per formula unit. The crystal system is triclinic. The space-group type is P-1 (2). Its energy of formation is 113.9 kJ/mol of formula units.

***

No. 8
## La3Nd8Sm3 (PBE)

Data for a relaxed La3Nd8Sm3 crystal.

Cell and atoms, written as POSCAR:
```
La3Nd8Sm3
1.0
5.8006 0.0000 0.0000
2.9003 9.1166 -2.9219
2.9003 -0.3294 9.5677
La Nd Sm
3 8 3
Cartesian
5.8006 4.3936 3.3229
5.8006 1.6926 1.2801
5.8006 7.0946 5.3657
5.8006 0.8865 5.0556
5.8006 7.9007 1.5903
5.8006 5.1060 -0.5234
5.8006 3.6812 7.1693
8.7009 6.8033 3.1120
2.9003 1.9838 3.5339
8.7009 4.8466 5.6991
2.9003 3.9405 0.9468
2.9003 0.0000 0.0000
2.9003 7.3674 -0.6091
2.9003 1.4198 7.2549
```

Calculated values
The crystal system is orthorhombic. The space-group type is Immm (71). Its energy of formation is 141.8 kJ/mol of formula units.

***

Number 1: DFT total energy -4.806 eV/atom. Number 2: DFT total energy -4.646 eV/atom. Number 3: DFT total energy -4.768 eV/atom. Number 4: DFT total energy -4.118 eV/atom. Number 5: DFT total energy -4.727 eV/atom. Number 6: DFT total energy -4.747 eV/atom. Number 7: DFT total energy -4.710 eV/atom. Number 8: DFT total energy -4.687 eV/atom.